# Hf4Co4Si7

Hf4Co4Si7 at its PBEsol-relaxed geometry (SCAN, the Alexandria database).

The structure belongs to space group I4/mmm (No. 139); the cell edges are 12.736, 12.736 and 4.987 Å and the angles 90.00°, 90.00° and 90.00°. Symmetry generates all atoms from Hf at (0.000, 0.196, 0.000), Hf at (0.137, 0.137, 0.500), Co at (0.148, 0.352, 0.250), Si at (0.000, 0.000, 0.249), Si at (0.000, 0.301, 0.500), Si at (0.000, 0.408, 0.000) and Si at (0.210, 0.210, 0.000).

The calculation puts the magnetic moment at 0.00 μB per cell. The energy relative to the elements, uncorrected comes out at -753 meV per atom.

# HfCoSi

HfCoSi at its PBEsol-relaxed geometry (SCAN, the Alexandria database).

The structure belongs to space group Pnma (No. 62); the cell edges are 6.332, 3.795 and 6.997 Å and the angles 90.00°, 90.00° and 90.00°. Symmetry generates all atoms from Hf at (0.007, 0.250, 0.194), Co at (0.145, 0.250, 0.569) and Si at (0.219, 0.750, 0.394).

The calculation puts the magnetic moment at 0.00 μB per cell. The energy relative to the elements, uncorrected comes out at -801 meV per atom.

# HfCoTe2

HfCoTe2 at its PBEsol-relaxed geometry (SCAN, the Alexandria database).

The structure belongs to space group Fm-3m (No. 225); the cell edges are 6.792, 6.792 and 6.792 Å and the angles 90.00°, 90.00° and 90.00°. Symmetry generates all atoms from Hf at (0.000, 0.000, 0.000), Co at (0.000, 0.000, 0.500) and Te at (0.250, 0.250, 0.250).

The calculation puts the magnetic moment at 2.94 μB per cell. The energy relative to the elements, uncorrected comes out at 111 meV per atom.

Record order is preserved below.
Electronic total energy: -26.754 -30.798 -38.509 eV per atom